<w>
PmTeI: relaxed, PBE.

extended XYZ file:
```
3
Lattice="4.5052 0.0000 0.0000 -2.2526 3.9016 0.0000 0.0000 0.0000 7.3940" Properties=species:S:1:pos:R:3 pbc="T T T"
Pm 0.0000 0.0000 0.0000
Te 0.0000 2.6011 5.7771
I 2.2526 1.3005 1.9953
```

Values from the calculation:
Space-group type ... P3m1

***

<x>
PmTeI: relaxed, PBE.

extended XYZ file:
```
6
Lattice="3.9195 0.0000 0.0000 0.0000 3.9195 0.0000 0.0000 0.0000 14.6738" Properties=species:S:1:pos:R:3 pbc="T T T"
Pm 0.0000 0.0000 0.0000
Pm 1.9597 1.9597 7.3369
Te 0.0000 0.0000 5.7350
Te 1.9597 1.9597 13.0719
I 0.0000 0.0000 9.4500
I 1.9597 1.9597 2.1131
```

Values from the calculation:
Space-group type ... I4mm

***

Most stable to least stable, the ends of the list are <w> and <x>.

***

<w>
Pm3Te2I: relaxed, PBE.

extended XYZ file:
```
12
Lattice="4.2404 0.0000 0.0000 -2.1202 3.6723 0.0000 0.0000 0.0000 24.4322" Properties=species:S:1:pos:R:3 pbc="T T T"
Pm 0.0000 0.0000 0.0000
Pm 0.0000 0.0000 12.2161
Pm 0.0000 2.4482 3.8463
Pm 0.0000 2.4482 8.3698
Pm 2.1202 1.2241 16.0623
Pm 2.1202 1.2241 20.5859
Te 0.0000 2.4482 14.1658
Te 0.0000 2.4482 22.4825
Te 2.1202 1.2241 1.9497
Te 2.1202 1.2241 10.2664
I 0.0000 0.0000 6.1080
I 0.0000 0.0000 18.3241
```

Values from the calculation:
Space-group type ... P6_3/mmc

***

<x>
Pm3Te2I: relaxed, PBE.

extended XYZ file:
```
12
Lattice="4.2642 0.0000 0.0000 0.0000 14.7017 0.0000 0.0000 0.0000 7.7410" Properties=species:S:1:pos:R:3 pbc="T T T"
Pm 0.0000 0.0000 0.0000
Pm 0.0000 5.5143 6.4418
Pm 0.0000 9.1874 6.4418
Pm 2.1321 1.8365 2.5713
Pm 2.1321 7.3508 3.8705
Pm 2.1321 12.8651 2.5713
Te 0.0000 3.0258 0.6705
Te 0.0000 11.6758 0.6705
Te 2.1321 4.3250 4.5410
Te 2.1321 10.3767 4.5410
I 0.0000 7.3508 1.3818
I 2.1321 0.0000 5.2523
```

Values from the calculation:
Space-group type ... Imm2

***

Most stable to least stable, the ends of the list are <w> and <x>.